DFT (PBE) results for CsDyPb2F8 after structural relaxation.

a = 4.1814 Å, b = 6.2073 Å, c = 8.4101 Å
α = 90.00°, β = 89.99°, γ = 90.19°
Closest atoms and distances in Å follow each position.
Sites, in units of the cell vectors:
Pb (0.4999, 0.5000, 0.7499)  6 F 2.44-2.65
Pb (0.5001, 0.5000, 0.2501)  6 F 2.44-2.65
F (0.9998, 0.2478, 0.8002)  1 Dy 2.28
F (0.0003, 0.7522, 0.8001)  1 Dy 2.28
F (0.4978, 0.7008, 0.5000)  2 Pb 2.44, 1 F 2.49
F (0.0002, 0.7522, 0.1998)  1 Dy 2.28
F (0.4996, 0.1980, 0.0000)  2 Dy 2.42-2.43, 5 F 2.46-2.70
F (0.9997, 0.2478, 0.1999)  1 Dy 2.28
F (0.5004, 0.8020, 0.0000)  2 Dy 2.42-2.43, 5 F 2.46-2.70
F (0.5022, 0.2992, 0.5000)  2 Pb 2.44, 1 F 2.49
Dy (0.0000, 0.0000, 0.0000)  8 F 2.28-2.43
Cs (0.0000, 0.0000, 0.5000)  8 F 2.79-2.96

## Properties
- M_tot (Bohr magnetons per cell) = 0.00
- space-group type = P2/m
- Fermi-level density of states (states/eV/cell) = 0.00
- formation energy from raw total energies (eV per atom) = -3.00

DFT (PBE) results for CsDyPd2F8 after structural relaxation.

a = 5.9991 Å, b = 5.9991 Å, c = 8.4227 Å
α = 90.00°, β = 90.00°, γ = 120.00°
Closest atoms and distances in Å follow each position.
Sites, in units of the cell vectors:
F (0.9799, 0.7034, 0.3404)  1 Pd 2.17, 1 Dy 2.18
F (0.0201, 0.2966, 0.6596)  1 Pd 2.17, 1 Dy 2.18
F (0.3333, 0.6667, 0.9756)  1 Pd 2.01
F (0.6667, 0.3333, 0.0244)  1 Pd 2.01
F (0.2966, 0.2764, 0.3404)  1 Pd 2.17, 1 Dy 2.18
F (0.7034, 0.7236, 0.6596)  1 Pd 2.17, 1 Dy 2.18
F (0.7236, 0.0201, 0.3404)  1 Pd 2.17, 1 Dy 2.18
F (0.2764, 0.9799, 0.6596)  1 Pd 2.17, 1 Dy 2.18
Pd (0.3333, 0.6667, 0.7375)  4 F 2.01-2.17
Pd (0.6667, 0.3333, 0.2625)  4 F 2.01-2.17
Dy (0.0000, 0.0000, 0.5000)  6 F 2.18
Cs (0.0000, 0.0000, 0.0000)  12 F 3.34-3.47

## Properties
- M_tot (Bohr magnetons per cell) = 4.00
- space-group type = P-3
- Fermi-level density of states (states/eV/cell) = 12.98
- formation energy from raw total energies (eV per atom) = -2.16

DFT (PBE) results for CsDyPdF6 after structural relaxation.

a = 8.2836 Å, b = 7.8904 Å, c = 8.0883 Å
α = 119.19°, β = 120.80°, γ = 90.00°
Closest atoms and distances in Å follow each position.
Sites, in units of the cell vectors:
F (0.8250, 0.6742, 0.2561)  1 Dy 2.17, 1 Pd 2.22
F (0.4312, 0.6742, 0.2561)  1 Dy 2.17, 1 Pd 2.22
F (0.4200, 0.6700, 0.8399)  2 Pd 2.17
F (0.5688, 0.3258, 0.7439)  1 Dy 2.17, 1 Pd 2.22
F (0.5688, 0.9181, 0.7439)  1 Dy 2.17, 1 Pd 2.22
F (0.1840, 0.9340, 0.3680)  2 Dy 2.20
F (0.8160, 0.0660, 0.6320)  2 Dy 2.20
F (0.5800, 0.3300, 0.1601)  2 Pd 2.17
F (0.1750, 0.3258, 0.7439)  1 Dy 2.17, 1 Pd 2.22
F (0.1750, 0.9181, 0.7439)  1 Dy 2.17, 1 Pd 2.22
F (0.4312, 0.0819, 0.2561)  1 Dy 2.17, 1 Pd 2.22
F (0.8250, 0.0819, 0.2561)  1 Dy 2.17, 1 Pd 2.22
Dy (0.5000, 0.0000, 0.5000)  6 F 2.17-2.20
Dy (0.0000, 0.0000, 0.5000)  6 F 2.17-2.20
Pd (0.5000, 0.5000, 0.0000)  6 F 2.17-2.22
Pd (0.5000, 0.0000, 0.0000)  6 F 2.17-2.22
Cs (0.8400, 0.5900, 0.6801)  1 F 2.97
Cs (0.1600, 0.4100, 0.3199)  1 F 2.97

## Properties
- M_tot (Bohr magnetons per cell) = 4.00
- space-group type = Imma
- formation energy from raw total energies (eV per atom) = -2.82

DFT (PBE) results for CsRb2DyF6 after structural relaxation.

a = 6.7262 Å, b = 7.0958 Å, c = 9.6408 Å
α = 90.00°, β = 88.78°, γ = 90.00°
Closest atoms and distances in Å follow each position.
Sites, in units of the cell vectors:
F (0.8497, 0.7480, 0.9110)  1 Dy 2.21
F (0.2259, 0.1584, 0.4652)  1 Dy 2.19
F (0.8850, 0.5839, 0.2065)  1 Dy 2.20
F (0.1150, 0.4161, 0.7935)  1 Dy 2.20
F (0.6150, 0.0839, 0.2935)  1 Dy 2.20
F (0.1503, 0.2520, 0.0890)  1 Dy 2.21
F (0.3850, 0.9161, 0.7065)  1 Dy 2.20
F (0.7259, 0.3416, 0.9652)  1 Dy 2.19
F (0.3497, 0.7520, 0.4110)  1 Dy 2.21
F (0.2741, 0.6584, 0.0348)  1 Dy 2.19
F (0.6503, 0.2480, 0.5890)  1 Dy 2.21
F (0.7741, 0.8416, 0.5348)  1 Dy 2.19
Rb (0.0113, 0.9572, 0.2654)  6 F 2.82-3.13
Rb (0.4887, 0.4572, 0.2346)  6 F 2.82-3.13
Rb (0.9887, 0.0428, 0.7346)  6 F 2.82-3.13
Rb (0.5113, 0.5428, 0.7654)  6 F 2.82-3.13
Dy (0.0000, 0.5000, 0.0000)  6 F 2.19-2.21
Dy (0.5000, 0.0000, 0.5000)  6 F 2.19-2.21
Cs (0.0000, 0.5000, 0.5000)  6 F 2.88-3.06
Cs (0.5000, 0.0000, 0.0000)  6 F 2.88-3.06

## Properties
- M_tot (Bohr magnetons per cell) = 0.49
- space-group type = P2_1/c
- Fermi-level density of states (states/eV/cell) = 0.00
- formation energy from raw total energies (eV per atom) = -3.33

DFT (PBE) results for Cs2SrDyF6 after structural relaxation.

a = 6.7737 Å, b = 6.7127 Å, c = 9.4735 Å
α = 90.00°, β = 90.00°, γ = 90.00°
Closest atoms and distances in Å follow each position.
Sites, in units of the cell vectors:
Dy (0.5000, 0.2646, 0.5000)  6 F 2.23-2.34
Dy (0.0000, 0.7353, 0.0000)  6 F 2.23-2.34
F (0.2104, 0.4242, 0.5000)  1 Dy 2.23, 1 Sr 2.48
F (0.7104, 0.5758, 0.0000)  1 Dy 2.23, 1 Sr 2.48
F (0.5000, 0.2468, 0.7365)  1 Dy 2.24, 1 Sr 2.50
F (0.2307, 0.9953, 0.0000)  1 Dy 2.34, 1 Sr 2.61
F (0.0000, 0.7532, 0.7635)  1 Dy 2.24, 1 Sr 2.50
F (0.7693, 0.9953, 0.0000)  1 Dy 2.34, 1 Sr 2.61
F (0.5000, 0.2468, 0.2635)  1 Dy 2.24, 1 Sr 2.50
F (0.0000, 0.7532, 0.2365)  1 Dy 2.24, 1 Sr 2.50
F (0.2896, 0.5758, 0.0000)  1 Dy 2.23, 1 Sr 2.48
F (0.7896, 0.4242, 0.5000)  1 Dy 2.23, 1 Sr 2.48
F (0.7307, 0.0047, 0.5000)  1 Dy 2.34, 1 Sr 2.61
F (0.2693, 0.0047, 0.5000)  1 Dy 2.34, 1 Sr 2.61
Cs (0.5000, 0.7841, 0.2423)  9 F 3.04-3.39
Cs (0.0000, 0.2159, 0.2577)  9 F 3.04-3.39
Cs (0.5000, 0.7841, 0.7577)  9 F 3.04-3.39
Cs (0.0000, 0.2159, 0.7423)  9 F 3.04-3.39
Sr (0.0000, 0.7270, 0.5000)  6 F 2.48-2.61
Sr (0.5000, 0.2730, 0.0000)  6 F 2.48-2.61

## Properties
- M_tot (Bohr magnetons per cell) = 1.36
- space-group type = Pmmn
- Fermi-level density of states (states/eV/cell) = 5.25
- formation energy from raw total energies (eV per atom) = -3.27

DFT (PBE) results for Cs2Sr3DyF12 after structural relaxation.

a = 8.7068 Å, b = 8.7068 Å, c = 8.7068 Å
α = 58.90°, β = 58.90°, γ = 58.90°
Closest atoms and distances in Å follow each position.
Sites, in units of the cell vectors:
Sr (0.0000, 0.0000, 0.5000)  6 F 2.41-2.42
Sr (0.5000, 0.0000, 0.0000)  6 F 2.41-2.42
Sr (0.0000, 0.5000, 0.0000)  6 F 2.41-2.42
F (0.6573, 0.0926, 0.6573)  2 Sr 2.42
F (0.0598, 0.0598, 0.7016)  1 Dy 2.19, 1 Sr 2.41
F (0.9402, 0.9402, 0.2984)  1 Dy 2.19, 1 Sr 2.41
F (0.3427, 0.9074, 0.3427)  2 Sr 2.42
F (0.0598, 0.7016, 0.0598)  1 Dy 2.19, 1 Sr 2.41
F (0.9074, 0.3427, 0.3427)  2 Sr 2.42
F (0.0926, 0.6573, 0.6573)  2 Sr 2.42
F (0.7016, 0.0598, 0.0598)  1 Dy 2.19, 1 Sr 2.41
F (0.3427, 0.3427, 0.9074)  2 Sr 2.42
F (0.9402, 0.2984, 0.9402)  1 Dy 2.19, 1 Sr 2.41
F (0.6573, 0.6573, 0.0926)  2 Sr 2.42
F (0.2984, 0.9402, 0.9402)  1 Dy 2.19, 1 Sr 2.41
Cs (0.6009, 0.6009, 0.6009)  3 F 3.17
Cs (0.3991, 0.3991, 0.3991)  3 F 3.17
Dy (0.0000, 0.0000, 0.0000)  6 F 2.19

## Properties
- M_tot (Bohr magnetons per cell) = 1.40
- space-group type = R-3m
- Fermi-level density of states (states/eV/cell) = 26.67
- formation energy from raw total energies (eV per atom) = -3.42

DFT (PBE) results for CsDyZnF6 after structural relaxation.

a = 8.1677 Å, b = 7.7161 Å, c = 7.8987 Å
α = 119.24°, β = 121.13°, γ = 90.00°
Closest atoms and distances in Å follow each position.
Sites, in units of the cell vectors:
Dy (0.5000, 0.0000, 0.5000)  6 F 2.17-2.22
Dy (0.0000, 0.0000, 0.5000)  6 F 2.17-2.22
F (0.5503, 0.3307, 0.7381)  1 Zn 2.10, 1 Dy 2.17
F (0.8122, 0.0925, 0.2619)  1 Zn 2.10, 1 Dy 2.17
F (0.1878, 0.9075, 0.7381)  1 Zn 2.10, 1 Dy 2.17
F (0.5503, 0.9075, 0.7381)  1 Zn 2.10, 1 Dy 2.17
F (0.8284, 0.0784, 0.6568)  2 Dy 2.22
F (0.1716, 0.9216, 0.3432)  2 Dy 2.22
F (0.4522, 0.7022, 0.9043)  2 Zn 2.00
F (0.5478, 0.2978, 0.0957)  2 Zn 2.00
F (0.4497, 0.6693, 0.2619)  1 Zn 2.10, 1 Dy 2.17
F (0.4497, 0.0925, 0.2619)  1 Zn 2.10, 1 Dy 2.17
F (0.1878, 0.3307, 0.7381)  1 Zn 2.10, 1 Dy 2.17
F (0.8122, 0.6693, 0.2619)  1 Zn 2.10, 1 Dy 2.17
Cs (0.8234, 0.5734, 0.6467)  5 F 3.06-3.42
Cs (0.1766, 0.4266, 0.3533)  5 F 3.06-3.42
Zn (0.5000, 0.5000, 0.0000)  6 F 2.00-2.10
Zn (0.5000, 0.0000, 0.0000)  6 F 2.00-2.10

## Properties
- M_tot (Bohr magnetons per cell) = 0.00
- space-group type = Imma
- Fermi-level density of states (states/eV/cell) = 0.00
- formation energy from raw total energies (eV per atom) = -3.24

DFT (PBE) results for CsDyFe2I8 after structural relaxation.

a = 7.4391 Å, b = 7.4391 Å, c = 11.1373 Å
α = 84.01°, β = 84.01°, γ = 68.65°
Closest atoms and distances in Å follow each position.
Sites, in units of the cell vectors:
I (0.2720, 0.7673, 0.8000)  1 Fe 2.68
I (0.3121, 0.3121, 0.5865)  1 Fe 2.55
I (0.7673, 0.2720, 0.8000)  1 Fe 2.68
I (0.7532, 0.7532, 0.0052)  1 Fe 2.63
I (0.7280, 0.2327, 0.2000)  1 Fe 2.68
I (0.6879, 0.6879, 0.4135)  1 Fe 2.55
I (0.2468, 0.2468, 0.9948)  1 Fe 2.63
I (0.2327, 0.7280, 0.2000)  1 Fe 2.68
Dy (0.0000, 0.0000, 0.0000)  6 I 3.03-3.06
Cs (0.0000, 0.0000, 0.5000)  6 I 3.99-4.07
Fe (0.3828, 0.3828, 0.7924)  4 I 2.55-2.68
Fe (0.6172, 0.6172, 0.2076)  4 I 2.55-2.68

## Properties
- M_tot (Bohr magnetons per cell) = 8.00
- space-group type = C2/m
- Fermi-level density of states (states/eV/cell) = 12.67
- formation energy from raw total energies (eV per atom) = -0.73